# 1
This record from Alexandria describes a relaxed structure of TaTl2W. The functional is PBE.

ρ: 15.95 g cm⁻³
Excess energy over the best structure of this formula in the dataset: 0.4894 eV/atom
DOS(E_F): 0.929 states/eV/atom
Symmetry: Cmmm (65)
ΔE_f: 1.004 eV/atom

Cell: 5.490 5.490 2.945 Å, 90.00 90.00 114.89°
Fractional positions:
W: 0.500 0.000 0.500
Ta: 0.000 0.500 0.500
Tl: 0.000 0.000 0.000
Tl: 0.500 0.500 0.000

# 2
This record from Alexandria describes a relaxed structure of La4IrPt2. The functional is PBE.

ρ: 8.95 g cm⁻³
DOS(E_F): 0.570 states/eV/atom
Symmetry: C2/m (12)
ΔE_f: -0.907 eV/atom

Cell: 4.360 7.265 7.952 Å, 118.11 105.91 90.00°
Fractional positions:
La: 0.132 0.464 0.264
La: 0.382 0.045 0.764
Pt: 0.249 0.246 0.499
Pt: 0.751 0.754 0.501
La: 0.618 0.955 0.236
Ir: 0.000 0.000 0.000
La: 0.868 0.536 0.736

# 3
This record from Alexandria describes a relaxed structure of PrAgSb. The functional is PBE.

ρ: 7.42 g cm⁻³
Energy relative to the elements, uncorrected: -0.434 eV/atom
DOS(E_F): 0.386 states/eV/atom
Symmetry: I4mm (107)

Cell: 4.248 4.248 5.491 Å, 112.76 112.76 90.00°
Fractional positions:
Pr: 0.289 0.289 0.579
Sb: 0.938 0.938 0.876
Ag: 0.623 0.623 0.245

# 4
This record from Alexandria describes a relaxed structure of NaGaTeI2. The functional is PBE.

ρ: 4.22 g cm⁻³
Excess energy over the best structure of this formula in the dataset: 0.0000 eV/atom
Energy relative to the elements, uncorrected: -0.347 eV/atom
DOS(E_F): 0.926 states/eV/atom
Symmetry: P4/mmm (123)

Cell: 5.867 5.867 5.424 Å, 90.00 90.00 90.00°
Fractional positions:
I: 0.000 0.500 0.000
Te: 0.000 0.000 0.500
Na: 0.500 0.500 0.500
I: 0.500 0.000 0.000
Ga: 0.000 0.000 0.000

Question: What is the ρ in the first record?
Answer: 15.95 g cm⁻³